Record 1
{
  "formula": "Ba2La2Ni",
  "functional": "PBE-GGA",
  "state": "relaxed",
  "ef_ev_per_atom": 0.12,
  "lattice_angstrom": [[-2.7350, 5.8445, 3.8710], [-6.5041, -0.5655, -3.7416], [-2.3186, -4.1722, 4.6611]],
  "species": ["La", "La", "La", "La", "Ni", "Ni", "Ba", "Ba", "Ba", "Ba"],
  "fractional_positions": [[0.3342, 0.8342, 0.0000], [0.1658, 0.3342, 0.0000], [0.8342, 0.6658, 0.0000], [0.6658, 0.1658, 0.0000], [0.5000, 0.5000, 0.0000], [0.0000, 0.0000, 0.0000], [0.6833, 0.8167, 0.5000], [0.3167, 0.1833, 0.5000], [0.8167, 0.3167, 0.5000], [0.1833, 0.6833, 0.5000]]
}

---

Record 2
{
  "formula": "Li2TmPb2",
  "functional": "PBE-GGA",
  "state": "relaxed",
  "ef_ev_per_atom": -0.29,
  "relative_energy_kj_per_mol_atoms": 1.5,
  "lattice_angstrom": [[4.2752, 0.0000, 0.0000], [0.0000, 4.2757, -0.0037], [-2.1376, -2.1441, 6.4855]],
  "species": ["Li", "Li", "Tm", "Pb", "Pb"],
  "fractional_positions": [[0.7500, 0.2507, 0.5000], [0.2500, 0.7493, 0.5000], [0.0000, 0.0000, 0.0000], [0.3864, 0.3861, 0.7729], [0.6136, 0.6139, 0.2271]]
}

---

Record 3
{
  "formula": "LiAg2",
  "functional": "PBE-GGA",
  "state": "relaxed",
  "ef_ev_per_atom": -0.13,
  "relative_energy_kj_per_mol_atoms": 3.0,
  "lattice_angstrom": [[5.9872, -0.1140, 0.0000], [4.5765, 3.8620, 0.0000], [-5.2818, -1.8740, 2.1094]],
  "species": ["Li", "Ag", "Ag"],
  "fractional_positions": [[0.0000, 0.0000, 0.0000], [0.3409, 0.3409, 0.0000], [0.6591, 0.6591, 0.0000]]
}

---

Record 4
{
  "formula": "Sc3AlN",
  "functional": "PBE-GGA",
  "state": "relaxed",
  "formation_energy_uncorrected_mev_per_atom": -646,
  "lattice_angstrom": [[3.1681, -1.8291, 0.0000], [0.0000, 3.6582, 0.0000], [0.0000, 0.0000, 16.8111]],
  "species": ["Sc", "Sc", "Sc", "Sc", "Sc", "Sc", "N", "N", "Al", "Al"],
  "fractional_positions": [[0.6667, 0.3333, 0.1161], [0.0000, 0.0000, 0.7500], [0.6667, 0.3333, 0.3839], [0.3333, 0.6667, 0.6161], [0.3333, 0.6667, 0.8839], [0.0000, 0.0000, 0.2500], [0.3333, 0.6667, 0.7500], [0.6667, 0.3333, 0.2500], [0.0000, 0.0000, 0.5000], [0.0000, 0.0000, 0.0000]]
}

---

Record 5
{
  "formula": "Rb2AsBrF6",
  "functional": "PBE-GGA",
  "state": "relaxed",
  "relative_energy_kj_per_mol_atoms": 0.0,
  "formation_energy_uncorrected_mev_per_atom": -2275,
  "lattice_angstrom": [[-7.1809, 2.2708, 3.3801], [-5.0860, -2.6935, 5.7411], [-3.1714, 2.6834, 7.1296]],
  "species": ["F", "F", "F", "F", "F", "F", "Rb", "Rb", "As", "Br"],
  "fractional_positions": [[0.1926, 0.0663, 0.3833], [0.9849, 0.5661, 0.1741], [0.6474, 0.0662, 0.9290], [0.4398, 0.5660, 0.7198], [0.2047, 0.3099, 0.9386], [0.4277, 0.3225, 0.1644], [0.5420, 0.5646, 0.2769], [0.0903, 0.0677, 0.8262], [0.3162, 0.3162, 0.0515], [0.8161, 0.8162, 0.5515]]
}

---

Record 6
{
  "formula": "HgGePbF6",
  "functional": "PBE-GGA",
  "state": "relaxed",
  "formation_energy_uncorrected_mev_per_atom": -2119,
  "lattice_angstrom": [[-3.2802, 5.8548, -2.1304], [-5.3004, 0.7179, -1.5655], [-1.7084, 1.7465, 5.1747]],
  "species": ["F", "F", "F", "F", "F", "F", "Pb", "Hg", "Ge"],
  "fractional_positions": [[0.0274, 0.6263, 0.6655], [0.4951, 0.3532, 0.7147], [0.3375, 0.6282, 0.3339], [0.6251, 0.0198, 0.3355], [0.1601, 0.3349, 0.2872], [0.3618, 0.0206, 0.6681], [0.7355, 0.5317, 0.4990], [0.9297, 0.1397, 0.9956], [0.3275, 0.3457, 0.5004]]
}

---

Record 7
{
  "formula": "MnReBr2",
  "functional": "PBE-GGA",
  "state": "relaxed",
  "relative_energy_kj_per_mol_atoms": 1.0,
  "formation_energy_uncorrected_mev_per_atom": 220,
  "lattice_angstrom": [[9.1339, 0.0036, 0.0022], [8.4774, 3.4002, 0.0022], [8.4774, 1.6385, 2.9794]],
  "species": ["Br", "Br", "Mn", "Re"],
  "fractional_positions": [[0.0294, 0.0294, 0.0294], [0.2163, 0.2163, 0.2163], [0.4842, 0.4842, 0.4842], [0.7700, 0.7700, 0.7700]]
}

---

Record 8
{
  "formula": "ScHg2Ru",
  "functional": "PBE-GGA",
  "state": "relaxed",
  "ef_ev_per_atom": 0.06,
  "relative_energy_kj_per_mol_atoms": 18.6,
  "lattice_angstrom": [[4.7598, 0.0000, 0.0000], [2.3799, 4.1221, 0.0000], [2.3799, 1.3740, 3.8864]],
  "species": ["Sc", "Hg", "Hg", "Ru"],
  "fractional_positions": [[0.7500, 0.7500, 0.7500], [0.0000, 0.0000, 0.0000], [0.2500, 0.2500, 0.2500], [0.5000, 0.5000, 0.5000]]
}

---

Record 9
{
  "formula": "AsPbCl3",
  "functional": "PBE-GGA",
  "state": "relaxed",
  "relative_energy_kj_per_mol_atoms": 0.0,
  "formation_energy_uncorrected_mev_per_atom": -204,
  "lattice_angstrom": [[-2.5220, -4.4432, 0.7849], [3.2431, -1.1599, 3.8543], [-3.1370, 2.3730, 3.3537]],
  "species": ["Cl", "Cl", "Cl", "As", "Pb"],
  "fractional_positions": [[0.0000, 0.0000, 0.5000], [0.0000, 0.5000, 0.0000], [0.5000, 0.0000, 0.0000], [0.0000, 0.0000, 0.0000], [0.5000, 0.5000, 0.5000]]
}

---

Record 10
{
  "formula": "Sm4Ho2Tm",
  "functional": "PBE-GGA",
  "state": "relaxed",
  "ef_ev_per_atom": 0.05,
  "relative_energy_kj_per_mol_atoms": 0.0,
  "lattice_angstrom": [[11.9613, -3.0596, -1.5420], [-9.3617, 8.0494, -1.5420], [0.0184, 0.0354, 6.7467]],
  "species": ["Ho", "Ho", "Ho", "Ho", "Sm", "Sm", "Sm", "Sm", "Sm", "Sm", "Sm", "Sm", "Tm", "Tm"],
  "fractional_positions": [[0.1006, 0.9203, 0.5499], [0.6205, 0.3008, 0.4503], [0.9203, 0.1006, 0.0499], [0.3008, 0.6205, 0.9503], [0.1726, 0.7099, 0.3601], [0.7955, 0.1853, 0.3937], [0.0422, 0.1523, 0.6067], [0.7099, 0.1726, 0.8601], [0.1853, 0.7955, 0.8937], [0.6002, 0.5629, 0.6406], [0.1523, 0.0422, 0.1067], [0.5629, 0.6002, 0.1406], [0.4240, 0.6740, 0.5002], [0.6740, 0.4240, 0.0002]]
}

---

Record 11
{
  "formula": "NdHo4Er2Mg",
  "functional": "PBE-GGA",
  "state": "relaxed",
  "ef_ev_per_atom": 0.10,
  "lattice_angstrom": [[5.7600, 0.0001, 0.0003], [0.0002, 9.3620, 0.2709], [0.0003, 3.4043, 4.6424]],
  "species": ["Ho", "Ho", "Ho", "Ho", "Er", "Er", "Nd", "Mg"],
  "fractional_positions": [[0.5000, 0.2522, 0.7478], [0.0000, 0.2520, 0.2475], [0.0000, 0.7480, 0.7525], [0.5000, 0.7478, 0.2522], [0.5000, 0.0000, 0.5000], [0.0000, 0.0000, 0.0000], [0.5000, 0.5000, 0.0000], [0.0000, 0.5000, 0.5000]]
}

---

Record 12
{
  "formula": "La2ThGe",
  "functional": "PBE-GGA",
  "state": "relaxed",
  "ef_ev_per_atom": -0.32,
  "relative_energy_kj_per_mol_atoms": 0.0,
  "lattice_angstrom": [[-1.6217, -3.4941, 0.9684], [2.1851, -0.0953, 3.3155], [-5.4577, 3.5584, 3.6992]],
  "species": ["La", "La", "Th", "Ge"],
  "fractional_positions": [[0.0000, 0.0000, 0.7947], [0.0000, 0.0000, 0.2053], [0.5000, 0.5000, 0.5000], [0.5000, 0.5000, 0.0000]]
}

---

Record 13
{
  "formula": "SmYPt",
  "functional": "PBE-GGA",
  "state": "relaxed",
  "ef_ev_per_atom": -0.81,
  "relative_energy_kj_per_mol_atoms": 6.6,
  "lattice_angstrom": [[-4.7239, 0.4854, 0.1911], [-0.3163, -4.1346, 2.3217], [0.1816, 3.1729, 6.4913]],
  "species": ["Y", "Y", "Sm", "Sm", "Pt", "Pt"],
  "fractional_positions": [[0.3076, 0.8724, 0.9197], [0.8196, 0.3606, 0.9196], [0.8017, 0.8547, 0.5376], [0.3255, 0.3783, 0.3016], [0.3513, 0.4037, 0.6873], [0.7759, 0.8292, 0.1519]]
}

---

Number 1: calculated volume 377.8 Å³/cell, density of states at the Fermi level 8.811 states/eV per cell, calculated density 5.4 g cm⁻³. Number 2: calculated volume 118.5 Å³/cell, density of states at the Fermi level 1.950 states/eV per cell, calculated density 8.4 g cm⁻³. Number 3: calculated volume 49.9 Å³/cell, density of states at the Fermi level 0.371 states/eV per cell, calculated density 7.4 g cm⁻³. Number 4: calculated volume 194.8 Å³/cell, density of states at the Fermi level 7.547 states/eV per cell, calculated density 3.0 g cm⁻³. Number 5: calculated volume 214.5 Å³/cell, density of states at the Fermi level 0.000 states/eV per cell, calculated density 3.4 g cm⁻³. Number 6: calculated volume 172.2 Å³/cell, density of states at the Fermi level 0.000 states/eV per cell, calculated density 5.7 g cm⁻³. Number 7: calculated volume 92.4 Å³/cell, density of states at the Fermi level 0.095 states/eV per cell, calculated density 7.2 g cm⁻³. Number 8: calculated volume 76.3 Å³/cell, density of states at the Fermi level 3.311 states/eV per cell, calculated density 11.9 g cm⁻³. Number 9: calculated volume 138.1 Å³/cell, density of states at the Fermi level 4.889 states/eV per cell, calculated density 4.7 g cm⁻³. Number 10: calculated volume 457.8 Å³/cell, density of states at the Fermi level 19.592 states/eV per cell, calculated density 8.0 g cm⁻³. Number 11: calculated volume 245.0 Å³/cell, density of states at the Fermi level 15.611 states/eV per cell, calculated density 7.9 g cm⁻³. Number 12: calculated volume 118.2 Å³/cell, density of states at the Fermi level 6.310 states/eV per cell, calculated density 8.2 g cm⁻³. Number 13: calculated volume 162.7 Å³/cell, density of states at the Fermi level 7.395 states/eV per cell, calculated density 8.9 g cm⁻³.